Below is ThH2 after structural relaxation, with properties calculated at the PBE-GGA level.

Summary:
- Uncorrected energy: -5.21 eV/atom
- Size of the total moment: 0.00 μB/cell
- N(E_F): 2.237 states/eV per cell

Cell lengths 4.061, 4.061, 4.877 Å; angles 90.00, 90.00, 90.00 degrees
Space group I4/mmm (No. 139)
Inequivalent atoms, fractional coordinates:
Th (0.000, 0.000, 0.000) (multiplicity 2)
H (0.000, 0.500, 0.250) (multiplicity 4)